1.
{"formula": "TaSnAu2", "functional": "PBE", "state": "optimized geometry", "sg": "F-43m (216)", "dft_energy_ev_per_atom": -5.340, "volume_a3_per_atom": 19.2, "magnetic_moment_mub_per_atom": 0.21, "lattice": [[0.000, 3.372, 3.372], [3.372, 0.000, 3.372], [3.372, 3.372, 0.000]], "species": ["Ta", "Sn", "Au", "Au"], "frac_coords": [[0.000, 0.000, 0.000], [0.750, 0.750, 0.750], [0.250, 0.250, 0.250], [0.500, 0.500, 0.500]]}

***

2.
{"formula": "TaSn2Au2", "functional": "PBE", "state": "optimized geometry", "sg": "I4/mmm (139)", "dft_energy_ev_per_atom": -4.657, "volume_a3_per_atom": 22.2, "magnetic_moment_mub_per_atom": 0.40, "lattice": [[-2.104, 2.104, 6.273], [2.104, -2.104, 6.273], [2.104, 2.104, -6.273]], "species": ["Ta", "Sn", "Sn", "Au", "Au"], "frac_coords": [[0.000, 0.000, 0.000], [0.250, 0.750, 0.500], [0.750, 0.250, 0.500], [0.397, 0.397, 0.000], [0.603, 0.603, 0.000]]}

***

3.
{"formula": "Tb2SnAu", "functional": "PBE", "state": "optimized geometry", "sg": "Amm2 (38)", "dft_energy_ev_per_atom": -4.921, "volume_a3_per_atom": 26.3, "magnetic_moment_mub_per_atom": 0.00, "lattice": [[4.487, 0.000, 0.000], [0.000, 2.068, 5.669], [0.000, -2.068, 5.669]], "species": ["Tb", "Tb", "Sn", "Au"], "frac_coords": [[0.000, 0.000, 0.000], [0.500, 0.283, 0.283], [0.000, 0.722, 0.722], [0.500, 0.549, 0.549]]}

***

4.
{"formula": "TbY2Sn4Au4", "functional": "PBE", "state": "optimized geometry", "sg": "Immm (71)", "dft_energy_ev_per_atom": -4.892, "volume_a3_per_atom": 23.4, "magnetic_moment_mub_per_atom": 0.00, "lattice": [[-2.284, 3.638, 7.737], [2.284, -3.638, 7.737], [2.284, 3.638, -7.737]], "species": ["Tb", "Y", "Y", "Sn", "Sn", "Sn", "Sn", "Au", "Au", "Au", "Au"], "frac_coords": [[0.000, 0.000, 0.000], [0.371, 0.871, 0.500], [0.629, 0.129, 0.500], [0.214, 0.214, 0.000], [0.303, 0.500, 0.803], [0.697, 0.500, 0.197], [0.786, 0.786, 0.000], [0.035, 0.331, 0.704], [0.373, 0.669, 0.704], [0.627, 0.331, 0.296], [0.965, 0.669, 0.296]]}

***

5.
{"formula": "Sn2TeAu", "functional": "PBE", "state": "optimized geometry", "sg": "F-43m (216)", "dft_energy_ev_per_atom": -3.458, "volume_a3_per_atom": 25.2, "lattice": [[0.000, 3.694, 3.694], [3.694, 0.000, 3.694], [3.694, 3.694, 0.000]], "species": ["Sn", "Sn", "Te", "Au"], "frac_coords": [[0.000, 0.000, 0.000], [0.250, 0.250, 0.250], [0.500, 0.500, 0.500], [0.750, 0.750, 0.750]]}

***

6.
{"formula": "TlSnTe4Au3", "functional": "PBE", "state": "optimized geometry", "sg": "P-43m (215)", "dft_energy_ev_per_atom": -3.183, "volume_a3_per_atom": 33.7, "lattice": [[6.720, 0.000, 0.000], [0.000, 6.720, 0.000], [0.000, 0.000, 6.720]], "species": ["Tl", "Sn", "Te", "Te", "Te", "Te", "Au", "Au", "Au"], "frac_coords": [[0.000, 0.000, 0.000], [0.500, 0.500, 0.500], [0.254, 0.254, 0.254], [0.254, 0.746, 0.746], [0.746, 0.254, 0.746], [0.746, 0.746, 0.254], [0.000, 0.500, 0.500], [0.500, 0.000, 0.500], [0.500, 0.500, 0.000]]}

***

7.
{"formula": "YSnTe3Au", "functional": "PBE", "state": "optimized geometry", "sg": "Pnma (62)", "dft_energy_ev_per_atom": -4.507, "volume_a3_per_atom": 30.3, "magnetic_moment_mub_per_atom": 0.00, "lattice": [[13.319, 0.000, 0.000], [0.000, 4.461, 0.000], [0.000, 0.000, 12.254]], "species": ["Y", "Y", "Y", "Y", "Sn", "Sn", "Sn", "Sn", "Te", "Te", "Te", "Te", "Te", "Te", "Te", "Te", "Te", "Te", "Te", "Te", "Au", "Au", "Au", "Au"], "frac_coords": [[0.018, 0.250, 0.194], [0.482, 0.750, 0.694], [0.518, 0.250, 0.306], [0.982, 0.750, 0.806], [0.237, 0.250, 0.419], [0.263, 0.750, 0.919], [0.737, 0.250, 0.081], [0.763, 0.750, 0.581], [0.034, 0.750, 0.367], [0.099, 0.250, 0.950], [0.196, 0.750, 0.678], [0.304, 0.250, 0.178], [0.401, 0.750, 0.450], [0.466, 0.250, 0.867], [0.534, 0.750, 0.133], [0.599, 0.250, 0.550], [0.696, 0.750, 0.822], [0.804, 0.250, 0.322], [0.901, 0.750, 0.050], [0.966, 0.250, 0.633], [0.194, 0.750, 0.230], [0.306, 0.250, 0.730], [0.694, 0.750, 0.270], [0.806, 0.250, 0.770]]}

***

8.
{"formula": "YSnTe3Au", "functional": "PBE", "state": "optimized geometry", "sg": "Pnma (62)", "dft_energy_ev_per_atom": -4.526, "volume_a3_per_atom": 29.3, "magnetic_moment_mub_per_atom": 0.00, "lattice": [[11.151, 0.000, 0.000], [0.000, 4.287, 0.000], [0.000, 0.000, 14.699]], "species": ["Y", "Y", "Y", "Y", "Sn", "Sn", "Sn", "Sn", "Te", "Te", "Te", "Te", "Te", "Te", "Te", "Te", "Te", "Te", "Te", "Te", "Au", "Au", "Au", "Au"], "frac_coords": [[0.021, 0.250, 0.244], [0.479, 0.750, 0.744], [0.521, 0.250, 0.256], [0.979, 0.750, 0.756], [0.221, 0.750, 0.523], [0.279, 0.250, 0.023], [0.721, 0.750, 0.977], [0.779, 0.250, 0.477], [0.038, 0.250, 0.607], [0.073, 0.750, 0.095], [0.233, 0.750, 0.846], [0.267, 0.250, 0.346], [0.427, 0.250, 0.595], [0.462, 0.750, 0.107], [0.538, 0.250, 0.893], [0.573, 0.750, 0.405], [0.733, 0.750, 0.654], [0.767, 0.250, 0.154], [0.927, 0.250, 0.905], [0.962, 0.750, 0.393], [0.245, 0.250, 0.721], [0.255, 0.750, 0.221], [0.745, 0.250, 0.779], [0.755, 0.750, 0.279]]}